Density functional theory data (GGA-PBE) for an optimized crystal structure of LiNd2HoIn4.

POSCAR file:
```
LiNd2HoIn4
1.0
2.642 1.525 8.850
-2.642 1.525 8.850
0.000 -3.051 8.850
Li Nd Ho In
1 2 1 4
Direct
0.000 0.000 0.000 Li
0.255 0.255 0.255 Nd
0.745 0.745 0.745 Nd
0.500 0.500 0.500 Ho
0.125 0.125 0.125 In
0.375 0.375 0.375 In
0.625 0.625 0.625 In
0.875 0.875 0.875 In
```

**Final energy**: -3.80 eV per atom
**DOS(E_F)**: 4.336 states/eV per cell
**Total moment**: 0.00 μB/f.u.
**Formation energy**: -0.426 eV/atom